No. 1
Entry from the Alexandria database: an optimized crystal structure of SrPb4Au2 (PBE).

Calculated density, g/cm3: 10.523
Crystal system: orthorhombic
ΔE_f, eV per atom: -0.244
E_tot, eV/atom: -3.54
Space group: Cmmm (65)
Calculated volume, Å³/cell: 206.77
DOS at the Fermi energy, states/eV/cell: 4.150

Geometry as CIF:
```
data_SrPb4Au2
_cell_length_a 4.402
_cell_length_b 4.881
_cell_length_c 9.929
_cell_angle_alpha 104.23
_cell_angle_beta 90.00
_cell_angle_gamma 90.00
_symmetry_space_group_name_H-M 'P 1'
_symmetry_Int_Tables_number 1
loop_
_symmetry_equiv_pos_as_xyz
'x,y,z'
loop_
_atom_site_label
_atom_site_type_symbol
_atom_site_fract_x
_atom_site_fract_y
_atom_site_fract_z
Sr1 Sr 0.000 0.000 0.000
Pb1 Pb 0.500 0.835 0.670
Pb2 Pb 0.000 0.685 0.370
Pb3 Pb 0.500 0.165 0.330
Pb4 Pb 0.000 0.315 0.630
Au1 Au 0.500 0.570 0.140
Au2 Au 0.500 0.430 0.860
```

No. 2
Entry from the Alexandria database: an optimized crystal structure of Sr2Pb2Au (PBE).

Calculated density, g/cm3: 8.352
Crystal system: orthorhombic
Energy relative to the lowest polymorph listed for this composition, kJ/mol of atoms: 4.2
ΔE_f, eV per atom: -0.533
E_tot, eV/atom: -3.34
Space group: Amm2 (38)
Calculated volume, Å³/cell: 156.39
DOS at the Fermi energy, states/eV/cell: 2.456

Geometry as CIF:
```
data_Sr2Pb2Au
_cell_length_a 3.889
_cell_length_b 4.947
_cell_length_c 8.497
_cell_angle_alpha 106.93
_cell_angle_beta 90.00
_cell_angle_gamma 90.00
_symmetry_space_group_name_H-M 'P 1'
_symmetry_Int_Tables_number 1
loop_
_symmetry_equiv_pos_as_xyz
'x,y,z'
loop_
_atom_site_label
_atom_site_type_symbol
_atom_site_fract_x
_atom_site_fract_y
_atom_site_fract_z
Sr1 Sr 0.000 0.689 0.379
Sr2 Sr 0.000 0.927 0.854
Pb1 Pb 0.500 0.302 0.603
Pb2 Pb 0.500 0.513 0.026
Au1 Au 0.500 0.111 0.222
```

No. 3
Entry from the Alexandria database: an optimized crystal structure of Sr12PbAu6 (PBE).

Calculated density, g/cm3: 5.845
Crystal system: cubic
ΔE_f, eV per atom: -0.563
E_tot, eV/atom: -2.86
Space group: Im-3 (204)
Calculated volume, Å³/cell: 693.38
DOS at the Fermi energy, states/eV/cell: 13.435

Geometry as CIF:
```
data_Sr12PbAu6
_cell_length_a 9.657
_cell_length_b 9.657
_cell_length_c 9.657
_cell_angle_alpha 109.47
_cell_angle_beta 109.47
_cell_angle_gamma 109.47
_symmetry_space_group_name_H-M 'P 1'
_symmetry_Int_Tables_number 1
loop_
_symmetry_equiv_pos_as_xyz
'x,y,z'
loop_
_atom_site_label
_atom_site_type_symbol
_atom_site_fract_x
_atom_site_fract_y
_atom_site_fract_z
Sr1 Sr 0.300 0.121 0.821
Sr2 Sr 0.300 0.480 0.179
Sr3 Sr 0.700 0.520 0.821
Sr4 Sr 0.700 0.879 0.179
Sr5 Sr 0.121 0.821 0.300
Sr6 Sr 0.480 0.179 0.300
Sr7 Sr 0.520 0.821 0.700
Sr8 Sr 0.879 0.179 0.700
Sr9 Sr 0.821 0.300 0.121
Sr10 Sr 0.179 0.300 0.480
Sr11 Sr 0.821 0.700 0.520
Sr12 Sr 0.179 0.700 0.879
Pb1 Pb 0.000 0.000 0.000
Au1 Au 0.372 0.500 0.872
Au2 Au 0.628 0.500 0.128
Au3 Au 0.500 0.872 0.372
Au4 Au 0.500 0.128 0.628
Au5 Au 0.872 0.372 0.500
Au6 Au 0.128 0.628 0.500
```

No. 4
Entry from the Alexandria database: an optimized crystal structure of SrPb2Au9 (PBE).

Calculated density, g/cm3: 14.245
Crystal system: trigonal
Energy relative to the lowest polymorph listed for this composition, kJ/mol of atoms: 0.0
ΔE_f, eV per atom: -0.244
E_tot, eV/atom: -3.46
Space group: R-3m (166)
Calculated volume, Å³/cell: 265.16
DOS at the Fermi energy, states/eV/cell: 5.042

Geometry as CIF:
```
data_SrPb2Au9
_cell_length_a 5.743
_cell_length_b 5.743
_cell_length_c 9.857
_cell_angle_alpha 73.06
_cell_angle_beta 73.06
_cell_angle_gamma 60.00
_symmetry_space_group_name_H-M 'P 1'
_symmetry_Int_Tables_number 1
loop_
_symmetry_equiv_pos_as_xyz
'x,y,z'
loop_
_atom_site_label
_atom_site_type_symbol
_atom_site_fract_x
_atom_site_fract_y
_atom_site_fract_z
Sr1 Sr 0.000 0.000 0.000
Pb1 Pb 0.853 0.853 0.440
Pb2 Pb 0.147 0.147 0.560
Au1 Au 0.667 0.667 0.999
Au2 Au 0.333 0.333 0.001
Au3 Au 0.500 0.500 0.500
Au4 Au 0.415 0.415 0.251
Au5 Au 0.918 0.415 0.251
Au6 Au 0.415 0.918 0.251
Au7 Au 0.585 0.585 0.749
Au8 Au 0.585 0.082 0.749
Au9 Au 0.082 0.585 0.749
```